DFT (PBE) results for TbHf2Sc8 after structural relaxation.

a = 5.370 Å, b = 8.456 Å, c = 8.775 Å
α = 61.20°, β = 72.73°, γ = 51.97°
Sites, in units of the cell vectors:
Tb  0.500  0.000  0.000
Hf  0.000  0.310  0.380
Hf  0.000  0.690  0.620
Sc  0.788  0.095  0.264
Sc  0.788  0.358  0.736
Sc  0.266  0.472  0.000
Sc  0.500  0.793  0.413
Sc  0.500  0.207  0.587
Sc  0.734  0.528  0.000
Sc  0.212  0.642  0.264
Sc  0.212  0.905  0.736

Total DFT energy (no corrections) = -6.659 eV per atom
Size of the total moment = 0.00 μB/cell
Fermi-level density of states = 13.99 states/eV/f.u.
Space-group type = C2/m